1.
First-principles (PBEsol) data for K2TaNbO6 after structural relaxation, as listed in Alexandria.

Unit cell a=4.0039 b=4.0039 c=8.0094 alpha=90.00 beta=90.00 gamma=90.00
Element x y z (fractional)
K  0.0000  0.0000  0.2501
K  0.0000  0.0000  0.7499
Ta  0.5000  0.5000  0.0000
Nb  0.5000  0.5000  0.5000
O  0.0000  0.5000  0.0000
O  0.0000  0.5000  0.5000
O  0.5000  0.0000  0.0000
O  0.5000  0.0000  0.5000
O  0.5000  0.5000  0.2486
O  0.5000  0.5000  0.7514

2.
First-principles (PBEsol) data for K2TaNbO6 after structural relaxation, as listed in Alexandria.

Unit cell a=5.6628 b=5.6628 c=5.6628 alpha=60.00 beta=60.00 gamma=60.00
Element x y z (fractional)
K  0.2500  0.2500  0.2500
K  0.7500  0.7500  0.7500
Ta  0.0000  0.0000  0.0000
Nb  0.5000  0.5000  0.5000
O  0.2490  0.2490  0.7510
O  0.2490  0.7510  0.2490
O  0.2490  0.7510  0.7510
O  0.7510  0.2490  0.2490
O  0.7510  0.2490  0.7510
O  0.7510  0.7510  0.2490

3.
First-principles (PBEsol) data for K2TbNb5O15 after structural relaxation, as listed in Alexandria.

Unit cell a=12.6281 b=12.6281 c=3.9213 alpha=90.00 beta=90.00 gamma=90.00
Element x y z (fractional)
K  0.1700  0.3300  0.0000
K  0.3300  0.8300  0.0000
K  0.6700  0.1700  0.0000
K  0.8300  0.6700  0.0000
Tb  0.0000  0.0000  0.0000
Tb  0.5000  0.5000  0.0000
Nb  0.0000  0.5000  0.5000
Nb  0.0769  0.7885  0.5000
Nb  0.2115  0.0769  0.5000
Nb  0.2885  0.5769  0.5000
Nb  0.4231  0.2885  0.5000
Nb  0.5000  0.0000  0.5000
Nb  0.5769  0.7115  0.5000
Nb  0.7115  0.4231  0.5000
Nb  0.7885  0.9231  0.5000
Nb  0.9231  0.2115  0.5000
O  0.0000  0.5000  0.0000
O  0.0013  0.3417  0.5000
O  0.0584  0.1306  0.5000
O  0.0784  0.8158  0.0000
O  0.1306  0.9416  0.5000
O  0.1583  0.4987  0.5000
O  0.1842  0.0784  0.0000
O  0.2178  0.7178  0.5000
O  0.2822  0.2178  0.5000
O  0.3158  0.5784  0.0000
O  0.3417  0.9987  0.5000
O  0.3694  0.4416  0.5000
O  0.4216  0.3158  0.0000
O  0.4416  0.6306  0.5000
O  0.4987  0.8417  0.5000
O  0.5000  0.0000  0.0000
O  0.5013  0.1583  0.5000
O  0.5584  0.3694  0.5000
O  0.5784  0.6842  0.0000
O  0.6306  0.5584  0.5000
O  0.6583  0.0013  0.5000
O  0.6842  0.4216  0.0000
O  0.7178  0.7822  0.5000
O  0.7822  0.2822  0.5000
O  0.8158  0.9216  0.0000
O  0.8417  0.5013  0.5000
O  0.8694  0.0584  0.5000
O  0.9216  0.1842  0.0000
O  0.9416  0.8694  0.5000
O  0.9987  0.6583  0.5000

Result set for spin magnetization: 0.0000, 0.0000, 0.0000 μB/atom, one per record in the order listed.
Result set for VASP energy: -8.290, -8.290, -8.717 eV/atom, one per record in the order listed.
Result set for energy relative to the elements, uncorrected: -2.58, -2.58, -2.63 eV per atom, one per record in the order listed.